(1)
CdSnP14 at its PBEsol-relaxed geometry, computed with meta-GGA SCAN.

Cell: 9.8177 10.4877 12.6750 Å, 90.00 90.00 90.00°
Fractional coordinates of all 64 atoms:
1 Cd 0.2500 0.4887 0.6847
2 P 0.4244 0.3487 0.4650
3 P 0.4177 0.7062 0.0773
4 P 0.4250 0.3440 0.1736
5 P 0.5823 0.2938 0.9227
6 Sn 0.7500 0.4002 0.6692
7 P 0.4244 0.1513 0.9650
8 P 0.7500 0.7811 0.5637
9 P 0.5804 0.4263 0.0646
10 Sn 0.7500 0.0998 0.1693
11 P 0.2500 0.6444 0.8374
12 P 0.0756 0.1513 0.9650
13 P 0.9244 0.8487 0.0350
14 P 0.2500 0.6634 0.5359
15 P 0.9244 0.6513 0.5350
16 P 0.5756 0.6513 0.5350
17 P 0.5750 0.6560 0.8264
18 P 0.0750 0.3440 0.1736
19 P 0.2500 0.0912 0.5772
20 P 0.0413 0.3573 0.6361
21 Sn 0.2500 0.5998 0.3308
22 P 0.7500 0.9088 0.4228
23 P 0.2500 0.4088 0.0772
24 P 0.9587 0.8573 0.8639
25 P 0.2500 0.2811 0.9363
26 P 0.7500 0.5912 0.9228
27 P 0.5750 0.8440 0.3264
28 P 0.9177 0.2938 0.9227
29 P 0.0823 0.7938 0.5773
30 P 0.9587 0.6427 0.3639
31 P 0.4196 0.5737 0.9354
32 P 0.4587 0.3573 0.6361
33 P 0.5756 0.8487 0.0350
34 P 0.7500 0.1634 0.9641
35 P 0.9177 0.2062 0.4227
36 P 0.2500 0.2189 0.4363
37 P 0.9196 0.4263 0.0646
38 P 0.5413 0.8573 0.8639
39 P 0.2500 0.8366 0.0359
40 P 0.7500 0.3366 0.4641
41 Cd 0.7500 0.5113 0.3153
42 P 0.0750 0.1560 0.6736
43 P 0.9250 0.6560 0.8264
44 P 0.9250 0.8440 0.3264
45 P 0.4250 0.1560 0.6736
46 Cd 0.7500 0.9887 0.8153
47 P 0.5804 0.0737 0.5646
48 P 0.0756 0.3487 0.4650
49 Cd 0.2500 0.0113 0.1847
50 P 0.2500 0.8556 0.3374
51 P 0.4177 0.7938 0.5773
52 P 0.4587 0.1427 0.1361
53 P 0.7500 0.1444 0.6626
54 P 0.0804 0.9263 0.4354
55 P 0.5823 0.2062 0.4227
56 P 0.0413 0.1427 0.1361
57 P 0.5413 0.6427 0.3639
58 P 0.0804 0.5737 0.9354
59 P 0.4196 0.9263 0.4354
60 P 0.0823 0.7062 0.0773
61 P 0.9196 0.0737 0.5646
62 Sn 0.2500 0.9002 0.8308
63 P 0.7500 0.3556 0.1626
64 P 0.7500 0.7189 0.0637

Values from the calculation:
The calculation puts the density at 3.38 g/cm3. The calculated volume is 326 Å³/f.u. The formation energy is -0.051 eV/atom.

(2)
SrCdP2 at its PBEsol-relaxed geometry, computed with meta-GGA SCAN.

Cell: 4.2155 4.2474 6.0349 Å, 110.60 110.43 90.00°
Fractional coordinates of all 4 atoms:
1 Sr 0.3177 0.4414 0.8828
2 P 0.6578 0.8297 0.6595
3 P 0.9365 0.0403 0.0807
4 Cd 0.5881 0.1886 0.3771

Values from the calculation:
The calculation puts the density at 4.64 g/cm3. The calculated volume is 94 Å³/f.u. The formation energy is -0.616 eV/atom.

(3)
SrCdP4 at its PBEsol-relaxed geometry, computed with meta-GGA SCAN.

Cell: 5.4835 5.4835 5.4835 Å, 60.00 60.00 60.00°
Fractional coordinates of all 6 atoms:
1 P 0.3588 0.3588 0.3588
2 P 0.3588 0.3588 0.9237
3 Sr 0.7500 0.7500 0.7500
4 Cd 0.0000 0.0000 0.0000
5 P 0.9237 0.3588 0.3588
6 P 0.3588 0.9237 0.3588

Values from the calculation:
The calculation puts the density at 4.61 g/cm3. The calculated volume is 117 Å³/f.u. The formation energy is 0.004 eV/atom.

In order of appearance, size of the total moment = 0.000; 0.000; 0.000 μB per atom.